Entry 1:
# Y3V5S12

A geometry-optimized Y3V5S12 structure (GGA-PBE, Alexandria).

extended XYZ file:
```
80
Lattice="12.9272 0.0000 0.0000 -4.3091 12.1878 0.0000 -4.3091 -6.0939 10.5550" Properties=species:S:1:pos:R:3 pbc="T T T"
Y 7.5408 3.8087 1.3194
Y 7.5408 8.3791 1.3194
Y -1.0773 5.3322 6.5969
Y 1.0773 -0.7617 3.9581
Y 9.6954 0.0000 2.6387
Y 1.0773 6.0939 2.6387
Y 3.2318 0.0000 7.9162
Y -5.3863 6.0939 7.9162
Y 3.2318 6.8557 6.5969
Y 5.3863 0.7617 3.9581
Y -3.2318 -2.2852 9.2356
Y -3.2318 2.2852 9.2356
V -1.0773 3.0470 2.6387
V -2.1545 6.0939 0.0000
V 0.0000 0.0000 0.0000
V 3.2318 2.2852 1.3194
V 4.3091 -3.0470 5.2775
V 4.3091 6.0939 0.0000
V -3.2318 6.8557 3.9581
V 5.3863 -3.8087 9.2356
V 5.3863 5.3322 3.9581
V 1.0773 -3.0470 7.9162
V 3.2318 9.1409 2.6387
V 2.1545 3.0470 5.2775
V 6.4636 0.0000 0.0000
V -2.1545 -3.0470 5.2775
V -1.0773 0.7617 6.5969
V -1.0773 9.9026 1.3194
V -4.3091 3.0470 5.2775
V 7.5408 -0.7617 6.5969
V 1.0773 3.8087 9.2356
V 5.3863 3.0470 7.9162
S 8.5221 1.2775 0.3204
S 0.0960 3.9632 4.3313
S 9.6449 2.8603 3.0677
S 5.4367 1.8204 1.2666
S 1.6362 4.5077 7.1669
S 9.2226 6.0956 1.8894
S -1.0268 7.1338 4.3343
S -3.2822 10.3675 1.2666
S 0.5183 7.6801 7.1669
S 5.8590 6.0922 1.8894
S 6.5596 3.4083 4.0109
S 6.5596 10.9103 0.3204
S -3.7908 5.4136 5.5979
S 2.7591 4.4568 0.9432
S -4.4050 8.7796 4.0109
S 2.2505 -2.1308 6.2237
S -0.5183 0.9059 2.2098
S 2.7591 7.7293 0.9462
S 5.4367 9.3276 3.0677
S -0.6045 4.4585 0.9462
S -2.6728 6.9998 8.3452
S 3.1814 5.0540 4.3343
S 5.9453 6.7742 5.5979
S 4.9136 -1.6371 9.6118
S 1.1277 1.0399 6.2207
S -1.6362 -0.6803 4.9571
S -0.6045 7.7311 0.9432
S -1.1277 -3.2336 7.4873
S 6.9819 -0.9059 2.2098
S 4.9136 1.6354 9.6088
S 1.5500 -1.6354 9.6088
S 2.0585 8.2247 4.3313
S 4.8273 5.1880 8.3452
S 8.7141 -2.6856 6.5440
S 8.0998 0.6803 4.9571
S -2.2505 -4.8164 10.2346
S 1.5500 1.6371 9.6118
S 3.7908 -1.5862 3.3881
S -1.5500 0.0017 8.6656
S -2.2505 2.6856 6.5440
S 7.5913 -4.2735 9.2884
S 5.3359 -1.0399 6.2207
S -1.1277 4.2735 9.2884
S -4.9136 -0.0017 8.6656
S 2.6728 1.5862 3.3881
S -5.3359 3.2336 7.4873
S 4.2131 2.1308 6.2237
S -4.2131 4.8164 10.2346
```

formation energy from raw total energies	-1.22	eV per atom
SG	No. 230

***

Entry 2:
# CeSmTc

A geometry-optimized CeSmTc structure (GGA-PBE, Alexandria).

extended XYZ file:
```
3
Lattice="4.8390 0.0000 0.0000 2.4195 4.1907 0.0000 2.4195 1.3969 3.9510" Properties=species:S:1:pos:R:3 pbc="T T T"
Ce 4.8390 2.7938 1.9755
Sm 0.0000 0.0000 0.0000
Tc 2.4195 1.3969 0.9878
```

ΔH_f (0 K)	135	meV per atom
SG	No. 216
E above lowest polymorph	0.186	eV/atom